Entry 1:
First-principles (PBE) data for a geometry-optimized CaBeAsW2 structure, as listed in Alexandria.

Cell and atoms, written as POSCAR:
```
CaBeAsW2
1.0
4.748 0.000 0.000
0.000 4.391 0.000
0.000 0.000 4.748
As Ca Be W
1 1 1 2
Cartesian
0.000 0.000 0.000
2.374 2.196 2.374
0.000 2.196 0.000
0.000 0.000 2.374
2.374 0.000 0.000
```

Results
- theoretical density (g/cm3) = 8.25
- SG = P4/mmm
- formation enthalpy at 0 K (eV/atom) = 1.129
- size of the total moment (μB/atom) = 0.000
- crystal system = tetragonal

Entry 2:
First-principles (PBE) data for a geometry-optimized Ho2CdFeC structure, as listed in Alexandria.

Cell and atoms, written as POSCAR:
```
Ho2CdFeC
1.0
3.715 0.000 0.000
0.000 5.009 0.000
0.000 0.000 5.009
Ho Cd C Fe
2 1 1 1
Cartesian
0.000 0.000 2.504
0.000 2.504 0.000
1.857 2.504 2.504
0.000 0.000 0.000
1.857 0.000 0.000
```

Results
- theoretical density (g/cm3) = 9.09
- SG = P4/mmm
- formation enthalpy at 0 K (eV/atom) = -0.317
- size of the total moment (μB/atom) = 0.019
- crystal system = tetragonal

Entry 3:
First-principles (PBE) data for a geometry-optimized PaTi2Co3 structure, as listed in Alexandria.

Cell and atoms, written as POSCAR:
```
PaTi2Co3
1.0
4.183 0.000 0.000
0.000 4.444 -2.566
0.000 0.000 5.132
Co Pa Ti
3 1 2
Cartesian
0.000 0.000 2.566
0.000 2.222 1.283
0.000 2.222 -1.283
0.000 0.000 0.000
2.091 2.963 0.000
2.091 1.481 2.566
```

Results
- theoretical density (g/cm3) = 8.76
- SG = P6/mmm
- formation enthalpy at 0 K (eV/atom) = -0.360
- size of the total moment (μB/atom) = 0.001
- crystal system = hexagonal

Entry 4:
First-principles (PBE) data for a geometry-optimized MgP2NO structure, as listed in Alexandria.

Cell and atoms, written as POSCAR:
```
MgP2NO
1.0
-3.822 -0.706 0.284
0.329 -0.023 4.362
-0.702 3.833 0.073
N Mg P O
1 1 2 1
Cartesian
0.164 -0.011 2.181
-2.098 1.552 2.359
-0.351 1.916 0.036
-1.911 -0.353 0.142
0.000 0.000 0.000
```

Results
- theoretical density (g/cm3) = 2.91
- SG = P4/mmm
- relative energy among the computed polymorphs (meV/atom) = 358
- size of the total moment (μB/atom) = 0.106
- energy relative to the elements, uncorrected (kJ/mol of atoms) = 84.99
- crystal system = tetragonal

Entry 5:
First-principles (PBE) data for a geometry-optimized RuPt2W structure, as listed in Alexandria.

Cell and atoms, written as POSCAR:
```
RuPt2W
1.0
9.305 0.007 0.004
8.887 2.757 0.004
8.887 1.351 2.404
Pt W Ru
2 1 1
Cartesian
0.075 0.011 0.007
6.731 1.023 0.600
20.364 3.095 1.814
13.449 2.044 1.198
```

Results
- theoretical density (g/cm3) = 18.26
- SG = R3m
- relative energy among the computed polymorphs (meV/atom) = 116
- formation enthalpy at 0 K (eV/atom) = -0.076
- size of the total moment (μB/atom) = 0.000
- crystal system = trigonal

Entry 6:
First-principles (PBE) data for a geometry-optimized Ce2AlSi3Rh4 structure, as listed in Alexandria.

Cell and atoms, written as POSCAR:
```
Ce2AlSi3Rh4
1.0
4.131 0.000 0.000
0.000 4.131 0.000
0.000 0.000 10.126
Ce Rh Si Al
2 4 3 1
Cartesian
2.066 0.000 2.561
0.000 2.066 7.565
2.066 2.066 0.000
2.066 0.000 6.441
0.000 2.066 3.685
0.000 0.000 0.000
0.000 2.066 1.280
0.000 0.000 5.063
2.066 0.000 8.846
2.066 2.066 5.063
```

Results
- theoretical density (g/cm3) = 7.72
- SG = P-4m2
- size of the total moment (μB/atom) = 0.079
- energy relative to the elements, uncorrected (kJ/mol of atoms) = -98.61
- crystal system = tetragonal